1.
First-principles (GGA-PBE) data for a geometry-optimized Sr2AsF structure, as listed in Alexandria.

Cell: 6.302 6.024 14.364 Å, 90.00 115.17 90.00°
Fractional coordinates of all 16 atoms:
Sr: 0.129 0.201 0.125
Sr: 0.129 0.799 0.625
Sr: 0.344 0.254 0.902
Sr: 0.344 0.746 0.402
Sr: 0.656 0.254 0.598
Sr: 0.656 0.746 0.098
Sr: 0.871 0.201 0.375
Sr: 0.871 0.799 0.875
As: 0.363 0.247 0.365
As: 0.363 0.753 0.865
As: 0.637 0.247 0.135
As: 0.637 0.753 0.635
F: 0.013 0.195 0.574
F: 0.013 0.805 0.074
F: 0.987 0.195 0.926
F: 0.987 0.805 0.426

Values from the calculation:
- SG: P2/c, No. 13
- Total energy: -4.543 eV/atom
- Density: 3.62 g cm⁻³
- Magnetic moment: 0.0 μB per formula unit
- Formation energy (no corrections): -2.072 eV per atom

2.
First-principles (GGA-PBE) data for a geometry-optimized Dy6MgAl5 structure, as listed in Alexandria.

Cell: 8.139 8.139 7.194 Å, 90.00 90.00 143.20°
Fractional coordinates of all 12 atoms:
Dy: 0.000 0.000 0.244
Dy: 0.000 0.000 0.756
Dy: 0.330 0.670 0.249
Dy: 0.330 0.670 0.751
Dy: 0.670 0.330 0.249
Dy: 0.670 0.330 0.751
Mg: 0.500 0.500 0.500
Al: 0.160 0.840 0.500
Al: 0.166 0.834 0.000
Al: 0.500 0.500 0.000
Al: 0.834 0.166 0.000
Al: 0.840 0.160 0.500

Values from the calculation:
- SG: Cmmm, No. 65
- Energy of formation from the pure elements: -0.36 eV per atom
- Total energy: -4.357 eV/atom
- Density: 6.60 g cm⁻³
- Magnetic moment: 0.0 μB per formula unit

- Which of these has the lowest density?
  Sr2AsF